*a*
VASP calculation (PBE) on a geometry-optimized FeSnB4 structure.

Calculated values
- density (kg/m3) = 5640

Lattice parameters (Å, degrees): 2.9986 2.9986 8.2348 90.00 90.00 120.00
Closest atoms and distances in Å follow each position.
Fractional positions:
B (0.6667, 0.3333, 0.1801)  3 B 1.73
B (0.3333, 0.6667, 0.1801)  3 B 1.73
B (0.6667, 0.3333, 0.8199)  3 B 1.73
B (0.3333, 0.6667, 0.8199)  3 B 1.73
Fe (0.0000, 0.0000, 0.0000)  12 B 2.28
Sn (0.0000, 0.0000, 0.5000)  6 Sn 3.00, 12 B 3.15

*b*
VASP calculation (PBE) on a geometry-optimized FeSnB4 structure.

Calculated values
- density (kg/m3) = 6077

Lattice parameters (Å, degrees): 4.7645 4.7645 4.7645 142.47 111.85 80.49
Closest atoms and distances in Å follow each position.
Fractional positions:
B (0.5906, 0.2558, 0.3348)  3 B 1.76-1.78
B (0.0789, 0.7442, 0.3348)  3 B 1.76-1.78
B (0.9211, 0.2558, 0.6652)  3 B 1.76-1.78
B (0.4094, 0.7442, 0.6652)  3 B 1.76-1.78
Fe (0.0000, 0.0000, 0.0000)  12 B 2.51-2.58
Sn (0.5000, 0.5000, 0.0000)  12 B 2.52-2.57

*a* ends up most stable, edging out the next structure by 0.193 eV/atom.

*a*
VASP calculation (PBE) on a geometry-optimized TaZnFeB structure.

Calculated values
- density (kg/m3) = 10703

Lattice parameters (Å, degrees): 4.0951 4.0951 4.0951 60.00 60.00 60.00
Closest atoms and distances in Å follow each position.
Fractional positions:
B (0.0000, 0.0000, 0.0000)  4 Fe 2.51, 4 Ta 2.51
Fe (0.7500, 0.7500, 0.7500)  4 Zn 2.51, 4 B 2.51
Ta (0.2500, 0.2500, 0.2500)  4 Zn 2.51, 4 B 2.51
Zn (0.5000, 0.5000, 0.5000)  4 Fe 2.51, 4 Ta 2.51

*b*
VASP calculation (PBE) on a geometry-optimized TaZnFeB structure.

Calculated values
- density (kg/m3) = 10765

Lattice parameters (Å, degrees): 4.0872 4.0872 4.0872 60.00 60.00 60.00
Closest atoms and distances in Å follow each position.
Fractional positions:
B (0.0000, 0.0000, 0.0000)  4 Fe 2.50, 4 Zn 2.50
Fe (0.7500, 0.7500, 0.7500)  4 B 2.50, 4 Ta 2.50
Ta (0.5000, 0.5000, 0.5000)  4 Fe 2.50, 4 Zn 2.50
Zn (0.2500, 0.2500, 0.2500)  4 Ta 2.50, 4 B 2.50

*a* ends up most stable, edging out the next structure by 0.082 eV/atom.

*a*
VASP calculation (PBE) on a geometry-optimized TbFeB4 structure.

Calculated values
- density (kg/m3) = 7002

Lattice parameters (Å, degrees): 4.7887 4.7887 4.7887 141.84 111.95 80.79
Closest atoms and distances in Å follow each position.
Fractional positions:
B (0.5819, 0.2492, 0.3327)  3 B 1.79-1.80
B (0.0836, 0.7508, 0.3327)  3 B 1.79-1.80
B (0.9164, 0.2492, 0.6673)  3 B 1.79-1.80
B (0.4181, 0.7508, 0.6673)  3 B 1.79-1.80
Fe (0.5000, 0.5000, 0.0000)  12 B 2.55-2.56
Tb (0.0000, 0.0000, 0.0000)  12 B 2.55-2.57

*b*
VASP calculation (PBE) on a geometry-optimized TbFeB4 structure.

Calculated values
- density (kg/m3) = 7597

Lattice parameters (Å, degrees): 3.1436 3.1436 6.5899 90.00 90.00 120.00
Closest atoms and distances in Å follow each position.
Fractional positions:
B (0.6667, 0.3333, 0.3013)  3 B 1.81
B (0.3333, 0.6667, 0.3013)  3 B 1.81
B (0.6667, 0.3333, 0.6987)  3 B 1.81
B (0.3333, 0.6667, 0.6987)  3 B 1.81
Fe (0.0000, 0.0000, 0.5000)  12 B 2.24
Tb (0.0000, 0.0000, 0.0000)  12 B 2.69

*b* ends up most stable, edging out the next structure by 0.140 eV/atom.

*a*
VASP calculation (PBE) on a geometry-optimized ZnFeTcB structure.

Calculated values
- density (kg/m3) = 8347

Lattice parameters (Å, degrees): 4.0152 4.0152 4.0152 60.00 60.00 60.00
Closest atoms and distances in Å follow each position.
Fractional positions:
B (0.0000, 0.0000, 0.0000)  4 Fe 2.46, 4 Zn 2.46
Fe (0.7500, 0.7500, 0.7500)  4 Tc 2.46, 4 B 2.46
Tc (0.5000, 0.5000, 0.5000)  4 Fe 2.46, 4 Zn 2.46
Zn (0.2500, 0.2500, 0.2500)  4 Tc 2.46, 4 B 2.46

*b*
VASP calculation (PBE) on a geometry-optimized ZnFeTcB structure.

Calculated values
- density (kg/m3) = 8432

Lattice parameters (Å, degrees): 4.0016 4.0016 4.0016 60.00 60.00 60.00
Closest atoms and distances in Å follow each position.
Fractional positions:
B (0.0000, 0.0000, 0.0000)  4 Fe 2.45, 4 Tc 2.45
Fe (0.7500, 0.7500, 0.7500)  4 Zn 2.45, 4 B 2.45
Tc (0.2500, 0.2500, 0.2500)  4 Zn 2.45, 4 B 2.45
Zn (0.5000, 0.5000, 0.5000)  4 Fe 2.45, 4 Tc 2.45

*b* ends up most stable, edging out the next structure by 0.265 eV/atom.

*a*
VASP calculation (PBE) on a geometry-optimized ZrFeTcB structure.

Calculated values
- density (kg/m3) = 8044

Lattice parameters (Å, degrees): 4.2115 4.2115 4.2115 60.00 60.00 60.00
Closest atoms and distances in Å follow each position.
Fractional positions:
B (0.0000, 0.0000, 0.0000)  4 Tc 2.58, 4 Fe 2.58
Fe (0.7500, 0.7500, 0.7500)  4 Zr 2.58, 4 B 2.58
Tc (0.2500, 0.2500, 0.2500)  4 Zr 2.58, 4 B 2.58
Zr (0.5000, 0.5000, 0.5000)  4 Tc 2.58, 4 Fe 2.58

*b*
VASP calculation (PBE) on a geometry-optimized ZrFeTcB structure.

Calculated values
- density (kg/m3) = 7577

Lattice parameters (Å, degrees): 4.2964 4.2964 4.2964 60.00 60.00 60.00
Closest atoms and distances in Å follow each position.
Fractional positions:
B (0.0000, 0.0000, 0.0000)  4 Zr 2.63, 4 Fe 2.63
Fe (0.7500, 0.7500, 0.7500)  4 Tc 2.63, 4 B 2.63
Tc (0.5000, 0.5000, 0.5000)  4 Fe 2.63, 4 Zr 2.63
Zr (0.2500, 0.2500, 0.2500)  4 Tc 2.63, 4 B 2.63

*a* ends up most stable, edging out the next structure by 0.140 eV/atom.

*a*
VASP calculation (PBE) on a geometry-optimized ThFeB structure.

Calculated values
- density (kg/m3) = 9173

Lattice parameters (Å, degrees): 4.2445 4.2445 4.2445 60.00 60.00 60.00
Closest atoms and distances in Å follow each position.
Fractional positions:
B (0.0000, 0.0000, 0.0000)  4 Fe 2.60, 4 Th 2.60
Fe (0.2500, 0.2500, 0.2500)  4 B 2.60
Th (0.7500, 0.7500, 0.7500)  4 B 2.60

*b*
VASP calculation (PBE) on a geometry-optimized ThFeB structure.

Calculated values
- density (kg/m3) = 9672

Lattice parameters (Å, degrees): 4.1703 4.1703 4.1703 60.00 60.00 60.00
Closest atoms and distances in Å follow each position.
Fractional positions:
B (0.2500, 0.2500, 0.2500)  4 Fe 2.55
Fe (0.0000, 0.0000, 0.0000)  4 B 2.55, 4 Th 2.55
Th (0.7500, 0.7500, 0.7500)  4 Fe 2.55

*a* ends up most stable, edging out the next structure by 0.210 eV/atom.

*a*
VASP calculation (PBE) on a geometry-optimized TmFeB4 structure.

Calculated values
- density (kg/m3) = 7802

Lattice parameters (Å, degrees): 4.6216 4.6216 4.6216 140.42 110.50 83.05
Closest atoms and distances in Å follow each position.
Fractional positions:
B (0.5853, 0.2508, 0.3345)  3 B 1.74-1.80
B (0.0836, 0.7492, 0.3345)  3 B 1.74-1.80
B (0.9164, 0.2508, 0.6655)  3 B 1.74-1.80
B (0.4147, 0.7492, 0.6655)  3 B 1.74-1.80
Fe (0.0000, 0.0000, 0.0000)  12 B 2.47-2.49
Tm (0.5000, 0.5000, 0.0000)  12 B 2.47-2.49

*b*
VASP calculation (PBE) on a geometry-optimized TmFeB4 structure.

Calculated values
- density (kg/m3) = 8036

Lattice parameters (Å, degrees): 3.1182 3.1182 6.5773 90.00 90.00 120.00
Closest atoms and distances in Å follow each position.
Fractional positions:
B (0.6667, 0.3333, 0.2873)  3 B 1.80
B (0.3333, 0.6667, 0.2873)  3 B 1.80
B (0.6667, 0.3333, 0.7127)  3 B 1.80
B (0.3333, 0.6667, 0.7127)  3 B 1.80
Fe (0.0000, 0.0000, 0.5000)  12 B 2.28
Tm (0.0000, 0.0000, 0.0000)  12 B 2.61

*b* ends up most stable, edging out the next structure by 0.112 eV/atom.

*a*
VASP calculation (PBE) on a geometry-optimized YTmFe8B2 structure.

Calculated values
- density (kg/m3) = 7806

Lattice parameters (Å, degrees): 5.0417 5.0417 7.0174 90.00 90.00 120.00
Closest atoms and distances in Å follow each position.
Fractional positions:
B (0.6667, 0.3333, 0.5000)  6 Fe 2.09
B (0.3333, 0.6667, 0.5000)  6 Fe 2.09
Fe (0.6667, 0.3333, 0.0000)  6 Fe 2.48
Fe (0.3333, 0.6667, 0.0000)  6 Fe 2.48
Fe (0.5000, 0.0000, 0.2853)  2 B 2.09
Fe (0.0000, 0.5000, 0.2853)  2 B 2.09
Fe (0.5000, 0.5000, 0.2853)  2 B 2.09
Fe (0.5000, 0.0000, 0.7147)  2 B 2.09
Fe (0.0000, 0.5000, 0.7147)  2 B 2.09
Fe (0.5000, 0.5000, 0.7147)  2 B 2.09
Tm (0.0000, 0.0000, 0.0000)  18 Fe 2.91-3.22
Y (0.0000, 0.0000, 0.5000)  6 B 2.91, 12 Fe 2.94

*b*
VASP calculation (PBE) on a geometry-optimized YTmFe8B2 structure.

Calculated values
- density (kg/m3) = 7807

Lattice parameters (Å, degrees): 5.0397 5.0397 7.0229 90.00 90.00 120.00
Closest atoms and distances in Å follow each position.
Fractional positions:
B (0.6667, 0.3333, 0.5000)  6 Fe 2.09
B (0.3333, 0.6667, 0.5000)  6 Fe 2.09
Fe (0.6667, 0.3333, 0.0000)  6 Fe 2.48
Fe (0.3333, 0.6667, 0.0000)  6 Fe 2.48
Fe (0.5000, 0.0000, 0.2862)  2 B 2.09
Fe (0.0000, 0.5000, 0.2862)  2 B 2.09
Fe (0.5000, 0.5000, 0.2862)  2 B 2.09
Fe (0.5000, 0.0000, 0.7138)  2 B 2.09
Fe (0.0000, 0.5000, 0.7138)  2 B 2.09
Fe (0.5000, 0.5000, 0.7138)  2 B 2.09
Tm (0.0000, 0.0000, 0.5000)  6 B 2.91, 12 Fe 2.93
Y (0.0000, 0.0000, 0.0000)  18 Fe 2.91-3.22

*b* ends up most stable, edging out the next structure by 0.008 eV/atom.

*a*
VASP calculation (PBE) on a geometry-optimized ZnFeBW structure.

Calculated values
- density (kg/m3) = 11207

Lattice parameters (Å, degrees): 4.0452 4.0452 4.0452 60.00 60.00 60.00
Closest atoms and distances in Å follow each position.
Fractional positions:
B (0.0000, 0.0000, 0.0000)  4 Fe 2.48, 4 W 2.48
Fe (0.7500, 0.7500, 0.7500)  4 Zn 2.48, 4 B 2.48
W (0.2500, 0.2500, 0.2500)  4 Zn 2.48, 4 B 2.48
Zn (0.5000, 0.5000, 0.5000)  4 Fe 2.48, 4 W 2.48

*b*
VASP calculation (PBE) on a geometry-optimized ZnFeBW structure.

Calculated values
- density (kg/m3) = 11090

Lattice parameters (Å, degrees): 4.0594 4.0594 4.0594 60.00 60.00 60.00
Closest atoms and distances in Å follow each position.
Fractional positions:
B (0.0000, 0.0000, 0.0000)  4 Zn 2.49, 4 Fe 2.49
Fe (0.7500, 0.7500, 0.7500)  4 B 2.49, 4 W 2.49
W (0.5000, 0.5000, 0.5000)  4 Zn 2.49, 4 Fe 2.49
Zn (0.2500, 0.2500, 0.2500)  4 W 2.49, 4 B 2.49

*a* ends up most stable, edging out the next structure by 0.151 eV/atom.

*a*
VASP calculation (PBE) on a geometry-optimized YZnFeB structure.

Calculated values
- density (kg/m3) = 6169

Lattice parameters (Å, degrees): 4.3816 4.3816 4.3816 60.00 60.00 60.00
Closest atoms and distances in Å follow each position.
Fractional positions:
B (0.0000, 0.0000, 0.0000)  4 Fe 2.68, 4 Y 2.68
Fe (0.7500, 0.7500, 0.7500)  4 Zn 2.68, 4 B 2.68
Y (0.2500, 0.2500, 0.2500)  4 Zn 2.68, 4 B 2.68
Zn (0.5000, 0.5000, 0.5000)  4 Fe 2.68, 4 Y 2.68

*b*
VASP calculation (PBE) on a geometry-optimized YZnFeB structure.

Calculated values
- density (kg/m3) = 6242

Lattice parameters (Å, degrees): 4.3644 4.3644 4.3644 60.00 60.00 60.00
Closest atoms and distances in Å follow each position.
Fractional positions:
B (0.0000, 0.0000, 0.0000)  4 Fe 2.67, 4 Zn 2.67
Fe (0.7500, 0.7500, 0.7500)  4 Y 2.67, 4 B 2.67
Y (0.5000, 0.5000, 0.5000)  4 Fe 2.67, 4 Zn 2.67
Zn (0.2500, 0.2500, 0.2500)  4 Y 2.67, 4 B 2.67

*a* ends up most stable, edging out the next structure by 0.352 eV/atom.

*a*
VASP calculation (PBE) on a geometry-optimized ZnFeB4 structure.

Calculated values
- density (kg/m3) = 5292

Lattice parameters (Å, degrees): 2.9759 2.9759 6.7296 90.00 90.00 120.00
Closest atoms and distances in Å follow each position.
Fractional positions:
B (0.6667, 0.3333, 0.2307)  3 B 1.72
B (0.3333, 0.6667, 0.2307)  3 B 1.72
B (0.6667, 0.3333, 0.7693)  3 B 1.72
B (0.3333, 0.6667, 0.7693)  3 B 1.72
Fe (0.0000, 0.0000, 0.0000)  12 B 2.32
Zn (0.0000, 0.0000, 0.5000)  12 B 2.50

*b*
VASP calculation (PBE) on a geometry-optimized ZnFeB4 structure.

Calculated values
- density (kg/m3) = 5353

Lattice parameters (Å, degrees): 4.4588 4.4588 4.4588 141.17 108.30 84.66
Closest atoms and distances in Å follow each position.
Fractional positions:
B (0.5889, 0.2515, 0.3374)  3 B 1.70-1.74
B (0.0860, 0.7485, 0.3374)  3 B 1.70-1.74
B (0.9140, 0.2515, 0.6626)  3 B 1.70-1.74
B (0.4111, 0.7485, 0.6626)  3 B 1.70-1.74
Fe (0.0000, 0.0000, 0.0000)  12 B 2.37-2.42
Zn (0.5000, 0.5000, 0.0000)  12 B 2.38-2.41

*a* ends up most stable, edging out the next structure by 0.025 eV/atom.

*a*
VASP calculation (PBE) on a geometry-optimized ZnFeB structure.

Calculated values
- density (kg/m3) = 6982

Lattice parameters (Å, degrees): 3.5415 3.5415 3.5415 60.00 60.00 60.00
Closest atoms and distances in Å follow each position.
Fractional positions:
B (0.0000, 0.0000, 0.0000)  4 Zn 2.17, 4 Fe 2.17
Fe (0.2500, 0.2500, 0.2500)  4 B 2.17
Zn (0.7500, 0.7500, 0.7500)  4 B 2.17

*b*
VASP calculation (PBE) on a geometry-optimized ZnFeB structure.

Calculated values
- density (kg/m3) = 6274

Lattice parameters (Å, degrees): 3.6700 3.6700 3.6700 60.00 60.00 60.00
Closest atoms and distances in Å follow each position.
Fractional positions:
B (0.2500, 0.2500, 0.2500)  4 Fe 2.25
Fe (0.0000, 0.0000, 0.0000)  4 Zn 2.25, 4 B 2.25
Zn (0.7500, 0.7500, 0.7500)  4 Fe 2.25

*a* ends up most stable, edging out the next structure by 0.605 eV/atom.

*a*
VASP calculation (PBE) on a geometry-optimized ZrFeB4 structure.

Calculated values
- density (kg/m3) = 5984

Lattice parameters (Å, degrees): 3.1158 3.1158 6.2817 90.00 90.00 120.00
Closest atoms and distances in Å follow each position.
Fractional positions:
B (0.6667, 0.3333, 0.2785)  3 B 1.80
B (0.3333, 0.6667, 0.2785)  3 B 1.80
B (0.6667, 0.3333, 0.7215)  3 B 1.80
B (0.3333, 0.6667, 0.7215)  3 B 1.80
Fe (0.0000, 0.0000, 0.5000)  12 B 2.27
Zr (0.0000, 0.0000, 0.0000)  12 B 2.51

*b*
VASP calculation (PBE) on a geometry-optimized ZrFeB4 structure.

Calculated values
- density (kg/m3) = 5671

Lattice parameters (Å, degrees): 4.5922 4.5922 4.5922 140.83 109.81 83.44
Closest atoms and distances in Å follow each position.
Fractional positions:
B (0.5793, 0.2493, 0.3301)  3 B 1.76-1.79
B (0.0808, 0.7507, 0.3301)  3 B 1.76-1.79
B (0.9192, 0.2493, 0.6699)  3 B 1.76-1.79
B (0.4207, 0.7507, 0.6699)  3 B 1.76-1.79
Fe (0.0000, 0.0000, 0.0000)  12 B 2.44-2.48
Zr (0.5000, 0.5000, 0.0000)  12 B 2.45-2.47

*c*
VASP calculation (PBE) on a geometry-optimized ZrFeB4 structure.

Calculated values
- density (kg/m3) = 5997

Lattice parameters (Å, degrees): 5.7724 11.1924 3.2626 90.00 90.00 90.00
Closest atoms and distances in Å follow each position.
Fractional positions:
B (0.8653, 0.0323, 0.5000)  3 B 1.70-1.78
B (0.3864, 0.0467, 0.5000)  3 B 1.68-1.71
B (0.7864, 0.1864, 0.5000)  3 B 1.73-1.80
B (0.4740, 0.1930, 0.5000)  3 B 1.71-1.80
B (0.9740, 0.3070, 0.5000)  3 B 1.71-1.80
B (0.2864, 0.3136, 0.5000)  3 B 1.73-1.80
B (0.8864, 0.4533, 0.5000)  3 B 1.68-1.71
B (0.3653, 0.4677, 0.5000)  3 B 1.70-1.78
B (0.6347, 0.5323, 0.5000)  3 B 1.70-1.78
B (0.1136, 0.5467, 0.5000)  3 B 1.68-1.71
B (0.7136, 0.6864, 0.5000)  3 B 1.73-1.80
B (0.0260, 0.6930, 0.5000)  3 B 1.71-1.80
B (0.5260, 0.8070, 0.5000)  3 B 1.71-1.80
B (0.2136, 0.8136, 0.5000)  3 B 1.73-1.80
B (0.6136, 0.9533, 0.5000)  3 B 1.68-1.71
B (0.1347, 0.9677, 0.5000)  3 B 1.70-1.78
Fe (0.6329, 0.0901, 0.0000)  10 B 2.15-2.24
Fe (0.1329, 0.4099, 0.0000)  10 B 2.15-2.24
Fe (0.8671, 0.5901, 0.0000)  10 B 2.15-2.24
Fe (0.3671, 0.9099, 0.0000)  10 B 2.15-2.24
Zr (0.1278, 0.1497, 0.0000)  14 B 2.49-2.62
Zr (0.6278, 0.3503, 0.0000)  14 B 2.49-2.62
Zr (0.3722, 0.6497, 0.0000)  14 B 2.49-2.62
Zr (0.8722, 0.8503, 0.0000)  14 B 2.49-2.62

*c* ends up most stable, edging out the next structure by 0.163 eV/atom.